[1]
Below is a geometry-optimized Dy3NbCl2O6 structure, with properties calculated at the GGA-PBE level.

Computed properties:
space group	No. 12
formation energy from raw total energies	-2.7441	eV per atom
uncorrected energy	-7.52	eV/atom
calculated volume	17.07	A^3/atom
spin magnetization	0.0	μB/f.u.

Cell: 5.523 6.568 6.621 Å, 119.73 80.59 90.00°
Fractional coordinates of all 12 atoms:
Dy 0.000 0.500 0.000
Dy 0.500 0.500 0.500
Dy 0.500 0.000 0.500
Nb 0.500 0.000 0.000
Cl 0.153 0.706 0.411
Cl 0.847 0.294 0.589
O 0.705 0.296 0.117
O 0.295 0.704 0.883
O 0.671 0.830 0.660
O 0.329 0.170 0.340
O 0.295 0.180 0.883
O 0.705 0.820 0.117

=====

[2]
Below is a geometry-optimized NdDyCl6 structure, with properties calculated at the GGA-PBE level.

Computed properties:
space group	No. 12
formation energy from raw total energies	-2.2465	eV per atom
uncorrected energy	-4.80	eV/atom
calculated volume	34.70	A^3/atom
spin magnetization	0.0	μB/f.u.

Cell: 7.148 7.148 6.763 Å, 97.32 97.32 123.49°
Fractional coordinates of all 8 atoms:
Nd 0.000 0.000 0.000
Dy 0.500 0.500 0.500
Cl 0.599 0.882 0.743
Cl 0.882 0.599 0.743
Cl 0.118 0.401 0.257
Cl 0.401 0.118 0.257
Cl 0.253 0.253 0.744
Cl 0.747 0.747 0.256

=====

[3]
Below is a geometry-optimized Nd2DyCl structure, with properties calculated at the GGA-PBE level.

Computed properties:
space group	No. 166
formation energy from raw total energies	-0.6677	eV per atom
uncorrected energy	-4.66	eV/atom
calculated volume	30.14	A^3/atom
spin magnetization	0.0	μB/f.u.

Cell: 3.670 3.670 10.550 Å, 79.98 79.98 60.00°
Fractional coordinates of all 4 atoms:
Cl 0.000 0.000 0.000
Nd 0.740 0.740 0.780
Nd 0.260 0.260 0.220
Dy 0.500 0.500 0.500

=====

[4]
Below is a geometry-optimized Nd3DyCl structure, with properties calculated at the GGA-PBE level.

Computed properties:
space group	No. 221
formation energy from raw total energies	-0.4903	eV per atom
uncorrected energy	-4.64	eV/atom
calculated volume	32.65	A^3/atom
spin magnetization	0.0	μB/f.u.

Cell: 5.466 5.466 5.466 Å, 90.00 90.00 90.00°
Fractional coordinates of all 5 atoms:
Cl 0.000 0.000 0.000
Nd 0.000 0.500 0.000
Nd 0.000 0.000 0.500
Nd 0.500 0.000 0.000
Dy 0.500 0.500 0.500

=====

[5]
Below is a geometry-optimized NdDyCl3 structure, with properties calculated at the GGA-PBE level.

Computed properties:
space group	No. 12
formation energy from raw total energies	-1.8362	eV per atom
uncorrected energy	-4.82	eV/atom
calculated volume	28.96	A^3/atom
spin magnetization	0.0	μB/f.u.

Cell: 3.906 8.198 9.894 Å, 71.76 78.62 76.22°
Fractional coordinates of all 10 atoms:
Nd 0.140 0.011 0.709
Nd 0.860 0.989 0.291
Dy 0.414 0.219 0.953
Dy 0.586 0.781 0.047
Cl 0.657 0.194 0.493
Cl 0.343 0.806 0.507
Cl 0.223 0.666 0.888
Cl 0.777 0.334 0.112
Cl 0.951 0.346 0.751
Cl 0.049 0.654 0.249

=====

[6]
Below is a geometry-optimized NdDyCl6 structure, with properties calculated at the GGA-PBE level.

Computed properties:
space group	No. 148
formation energy from raw total energies	-2.2458	eV per atom
uncorrected energy	-4.80	eV/atom
calculated volume	31.56	A^3/atom
spin magnetization	0.0	μB/f.u.

Cell: 6.832 6.832 7.388 Å, 62.44 62.45 59.99°
Fractional coordinates of all 8 atoms:
Nd 0.000 0.000 0.000
Dy 0.500 0.500 0.500
Cl 0.109 0.403 0.745
Cl 0.743 0.109 0.745
Cl 0.597 0.257 0.255
Cl 0.257 0.891 0.255
Cl 0.891 0.597 0.255
Cl 0.403 0.743 0.745

=====

[7]
Below is a geometry-optimized NdDy3Cl structure, with properties calculated at the GGA-PBE level.

Computed properties:
space group	No. 221
formation energy from raw total energies	-0.4566	eV per atom
uncorrected energy	-4.54	eV/atom
calculated volume	30.01	A^3/atom
spin magnetization	0.0	μB/f.u.

Cell: 5.314 5.314 5.314 Å, 90.00 90.00 90.00°
Fractional coordinates of all 5 atoms:
Cl 0.000 0.000 0.000
Nd 0.500 0.500 0.500
Dy 0.000 0.500 0.000
Dy 0.000 0.000 0.500
Dy 0.500 0.000 0.000

=====

[8]
Below is a geometry-optimized Nd2DyCl8 structure, with properties calculated at the GGA-PBE level.

Computed properties:
space group	No. 12
formation energy from raw total energies	-2.0117	eV per atom
uncorrected energy	-4.64	eV/atom
calculated volume	25.90	A^3/atom
spin magnetization	1.0	μB/f.u.

Cell: 5.767 7.499 7.499 Å, 112.50 99.91 99.91°
Site moments in Bohr magnetons follow the coordinates.
Fractional coordinates of all 11 atoms:
Nd 0.000 0.310 0.690  0.12
Nd 0.000 0.690 0.310  0.12
Dy 0.500 0.000 0.000  0.39
Cl 0.897 0.924 0.664  0.00
Cl 0.897 0.664 0.924  0.00
Cl 0.317 0.649 0.649  0.00
Cl 0.500 0.785 0.215  0.00
Cl 0.500 0.215 0.785  0.00
Cl 0.683 0.351 0.351  0.00
Cl 0.103 0.336 0.076  0.00
Cl 0.103 0.076 0.336  0.00